Computed, not measured: HF3 after structural relaxation at the PBE level of DFT.

space group	R-3m, No. 166

Cell: 5.4000 5.4000 5.4000 Å, 28.81 28.81 28.81°
With the nearest neighbours (Å) after each atom.
Fractional positions:
F: 0.0000 0.0000 0.0000  2 F 1.71
F: 0.8898 0.8898 0.8898  1 F 1.71, 3 H 1.78
F: 0.1102 0.1102 0.1102  1 F 1.71, 3 H 1.78
H: 0.5000 0.5000 0.5000  6 F 1.78

***

Computed, not measured: H3F2 after structural relaxation at the PBE level of DFT.

space group	P1, No. 1

Cell: 4.0833 4.0985 6.6238 Å, 82.20 81.13 77.73°
With the nearest neighbours (Å) after each atom.
Fractional positions:
H: 0.8248 0.9037 0.2186  1 F 1.01
H: 0.2833 0.6270 0.4713  1 H 0.75
H: 0.5966 0.1336 0.7990  1 F 1.01
H: 0.8712 0.3987 0.2012  1 F 1.01
H: 0.3738 0.7175 0.5294  1 H 0.75
H: 0.0921 0.1791 0.7810  1 F 1.01
F: 0.7089 0.1324 0.2607  1 H 1.01
F: 0.9876 0.5961 0.1565  1 H 1.01
F: 0.8646 0.2933 0.7382  1 H 1.01
F: 0.3970 0.0186 0.8442  1 H 1.01

***

Computed, not measured: H2F13 after structural relaxation at the PBE level of DFT.

space group	R-3m, No. 166

Cell: 4.5070 4.5070 11.7357 Å, 78.94 78.93 60.00°
With the nearest neighbours (Å) after each atom.
Fractional positions:
F: 0.4598 0.9536 0.1268  1 H 1.29
F: 0.1737 0.7376 0.3512  2 F 1.97
F: 0.7376 0.7376 0.3512  2 F 1.97
F: 0.5402 0.5402 0.8732  1 H 1.29
F: 0.2624 0.8263 0.6488  2 F 1.97
F: 0.2624 0.2624 0.6488  2 F 1.97
F: 0.0464 0.5402 0.8732  1 H 1.29
F: 0.5000 0.5000 0.5000  6 F 2.25
F: 0.4598 0.4598 0.1268  1 H 1.29
F: 0.5402 0.0464 0.8732  1 H 1.29
F: 0.7376 0.1737 0.3512  2 F 1.97
F: 0.9536 0.4598 0.1268  1 H 1.29
F: 0.8263 0.2624 0.6488  2 F 1.97
H: 0.6263 0.6263 0.1211  3 F 1.29
H: 0.3737 0.3737 0.8789  3 F 1.29

***

| no. | total DFT energy (no corrections) (eV/cell) | density of states at the Fermi level (states/eV/f.u.) |
| --- | --- | --- |
| 1 | -9.158 | 0.0 |
| 2 | -40.387 | 0.0 |
| 3 | -29.157 | 12.8 |